The following is a GGA+U calculation of crystalline Li8Mn7FeB8O24 at its relaxed geometry, from the Alexandria database.

Cell lengths 5.239, 9.102, 11.494 Å; angles 111.79, 102.24, 89.67 degrees
Site moments in Bohr magnetons follow the coordinates.
Fractional coordinates of all 48 atoms:
Li: 0.028 0.041 0.417  0.00
Li: 0.299 0.289 0.923  0.00
Li: 0.478 0.505 0.664  0.00
Li: 0.269 0.249 0.171  0.00
Li: 0.523 0.538 0.413  0.00
Li: 0.798 0.783 0.917  0.00
Li: 0.981 0.008 0.667  0.00
Li: 0.770 0.741 0.165  0.00
Mn: 0.011 0.354 0.381  0.92
Mn: 0.275 0.941 0.883  4.63
Mn: 0.476 0.153 0.632  4.63
Mn: 0.244 0.574 0.135  0.98
Mn: 0.779 0.439 0.885  4.63
Mn: 0.746 0.064 0.136  4.62
Mn: 0.976 0.652 0.630  4.63
Fe: 0.533 0.857 0.382  3.76
B: 0.025 0.686 0.372  0.02
B: 0.271 0.607 0.879  0.02
B: 0.238 0.893 0.126  0.01
B: 0.471 0.812 0.623  0.02
B: 0.518 0.183 0.377  0.01
B: 0.768 0.106 0.877  0.02
B: 0.736 0.396 0.132  0.01
B: 0.968 0.312 0.623  0.02
O: 0.022 0.113 0.862  0.03
O: 0.099 0.710 0.844  0.04
O: 0.184 0.501 0.927  0.02
O: 0.071 0.168 0.610  0.03
O: 0.096 0.420 0.589  0.02
O: 0.240 0.850 0.667  0.04
O: 0.268 0.658 0.338  0.02
O: 0.523 0.608 0.861  0.03
O: 0.595 0.211 0.846  0.04
O: 0.398 0.079 0.416  0.04
O: 0.397 0.314 0.364  0.00
O: 0.681 0.994 0.920  0.04
O: 0.333 0.015 0.096  0.04
O: 0.569 0.666 0.607  0.02
O: 0.603 0.922 0.593  0.04
O: 0.411 0.795 0.166  0.03
O: 0.467 0.378 0.118  0.01
O: 0.740 0.350 0.668  0.04
O: 0.764 0.153 0.347  0.03
O: 0.910 0.585 0.416  0.02
O: 0.899 0.816 0.360  0.03
O: 0.842 0.510 0.098  0.03
O: 0.901 0.296 0.175  0.02
O: 0.971 0.868 0.111  0.02

As for the magnetic moment: 0.6459 μB per atom. As for the space group: P1. As for the total energy: -343.06 eV/f.u.

=====

The following is a GGA+U calculation of crystalline Li8Mn7FeB8O24 at its relaxed geometry, from the Alexandria database.

Cell lengths 5.237, 9.117, 11.451 Å; angles 112.01, 102.61, 89.57 degrees
Site moments in Bohr magnetons follow the coordinates.
Fractional coordinates of all 48 atoms:
Li: 0.027 0.041 0.415  0.00
Li: 0.298 0.281 0.917  0.00
Li: 0.480 0.506 0.663  0.00
Li: 0.269 0.243 0.168  0.00
Li: 0.530 0.540 0.421  0.00
Li: 0.791 0.785 0.911  0.00
Li: 0.985 0.007 0.669  0.00
Li: 0.771 0.746 0.167  0.00
Mn: 0.012 0.357 0.382  2.81
Mn: 0.278 0.935 0.883  0.95
Mn: 0.476 0.155 0.633  -4.62
Mn: 0.244 0.566 0.134  -4.62
Mn: 0.524 0.857 0.384  4.62
Mn: 0.773 0.441 0.883  4.62
Mn: 0.985 0.657 0.634  -0.94
Fe: 0.749 0.064 0.132  3.76
B: 0.028 0.688 0.379  0.01
B: 0.264 0.604 0.873  0.00
B: 0.236 0.893 0.124  0.01
B: 0.478 0.815 0.630  0.00
B: 0.520 0.185 0.375  0.01
B: 0.770 0.105 0.877  0.01
B: 0.733 0.393 0.129  0.00
B: 0.966 0.313 0.623  -0.01
O: 0.026 0.106 0.863  -0.01
O: 0.090 0.707 0.839  0.02
O: 0.178 0.494 0.917  0.00
O: 0.070 0.170 0.611  -0.02
O: 0.092 0.421 0.588  0.00
O: 0.247 0.851 0.673  -0.01
O: 0.271 0.655 0.347  0.00
O: 0.519 0.611 0.860  0.02
O: 0.604 0.213 0.846  0.00
O: 0.400 0.085 0.417  0.00
O: 0.401 0.316 0.362  0.03
O: 0.674 0.997 0.919  0.01
O: 0.338 0.010 0.090  0.02
O: 0.581 0.671 0.615  0.00
O: 0.604 0.925 0.598  0.00
O: 0.403 0.794 0.166  0.01
O: 0.465 0.370 0.112  -0.02
O: 0.736 0.350 0.666  0.00
O: 0.763 0.152 0.342  0.03
O: 0.910 0.591 0.425  0.01
O: 0.906 0.816 0.362  0.02
O: 0.835 0.512 0.098  0.00
O: 0.900 0.295 0.174  0.01
O: 0.966 0.875 0.111  0.03

As for the magnetic moment: 0.1458 μB per atom. As for the space group: P1. As for the total energy: -341.21 eV/f.u.